# LaSc2Os2 PBE relaxed
# calculated density = 10.0 g cm⁻³
# crystal system = tetragonal
# relative energy among the computed polymorphs = 0 meV per atom
# energy relative to the elements = -178 meV/atom
data_LaSc2Os2
_space_group_name_H-M_alt 'P 4/m b m'
_space_group_IT_number 127
_space_group_name_Hall '-P 4 2ab'
_cell_length_a 7.8854
_cell_length_b 7.8854
_cell_length_c 3.2537
_cell_angle_alpha 90.00
_cell_angle_beta 90.00
_cell_angle_gamma 90.00
loop_
_atom_site_label
_atom_site_type_symbol
_atom_site_fract_x
_atom_site_fract_y
_atom_site_fract_z
La1 La 0.0000 0.0000 0.0000
Sc1 Sc 0.1373 0.3627 0.5000
Os1 Os 0.1553 0.6553 0.0000

***

# LaSc2Os PBE relaxed
# calculated density = 8.1 g cm⁻³
# crystal system = orthorhombic
# relative energy among the computed polymorphs = 428 meV per atom
# energy relative to the elements = 173 meV/atom
data_LaSc2Os
_space_group_name_H-M_alt 'C m m m'
_space_group_IT_number 65
_space_group_name_Hall '-C 2 2'
_cell_length_a 6.0952
_cell_length_b 7.7431
_cell_length_c 3.6271
_cell_angle_alpha 90.00
_cell_angle_beta 90.00
_cell_angle_gamma 90.00
loop_
_atom_site_label
_atom_site_type_symbol
_atom_site_fract_x
_atom_site_fract_y
_atom_site_fract_z
La1 La 0.0000 0.0000 0.0000
Sc1 Sc 0.2500 0.2500 0.5000
Os1 Os 0.0000 0.5000 0.0000